Entry 1:
BeAl2PtW | PBEsol | relaxed

Cell and atoms, written as POSCAR:
```
BeAl2PtW
1.0
4.291 0.000 0.000
0.000 4.291 0.000
0.000 0.000 3.950
Be Al Pt W
1 2 1 1
Cartesian
0.000 0.000 0.000 Be
0.000 2.145 0.000 Al
2.145 0.000 0.000 Al
0.000 0.000 1.975 Pt
2.145 2.145 1.975 W
```

**Calculated volume**: 14.5 Å³ per atom
**Total energy**: -6.02 eV per atom
**Magnetic moment**: 0.76 μB per formula unit
**Formation enthalpy at 0 K**: 0.5670 eV per atom

---

Entry 2:
Be2AlRe2 | PBEsol | relaxed

Cell and atoms, written as POSCAR:
```
Be2AlRe2
1.0
5.945 0.000 0.000
0.000 5.945 0.000
0.000 0.000 3.158
Be Al Re
4 2 4
Cartesian
0.709 2.264 0.000 Be
2.264 5.237 0.000 Be
3.681 0.709 0.000 Be
5.237 3.681 0.000 Be
0.000 0.000 0.000 Al
2.973 2.973 0.000 Al
1.041 4.014 1.579 Re
1.932 1.041 1.579 Re
4.014 4.904 1.579 Re
4.904 1.932 1.579 Re
```

**Calculated volume**: 11.2 Å³ per atom
**Total energy**: -8.06 eV per atom
**Magnetic moment**: 0.00 μB per formula unit
**Formation enthalpy at 0 K**: -0.3120 eV per atom

---

Entry 3:
BeAlRe | PBEsol | relaxed

Cell and atoms, written as POSCAR:
```
BeAlRe
1.0
-1.493 1.493 4.211
1.493 -1.493 4.211
1.493 1.493 -4.211
Be Al Re
1 1 1
Cartesian
0.000 0.000 0.000 Be
0.000 0.000 2.630 Al
0.000 0.000 5.275 Re
```

**Offset from the most stable computed form**: 0 meV/atom
**Calculated volume**: 12.5 Å³ per atom
**Total energy**: -7.17 eV per atom
**Magnetic moment**: 0.00 μB per formula unit
**Formation enthalpy at 0 K**: -0.0335 eV per atom

---

Among the records above, which one has the lowest calculated volume? Be2AlRe2

---

magnetic moment of number 3 (BeAlRe)? 0.00 μB per formula unit

---

Which of these has the highest total energy? BeAl2PtW

---

The highest formation enthalpy at 0 K belongs to which entry? BeAl2PtW